No. 1
Density functional theory data (PBE) for a geometry-optimized Y8Os structure.

Output
Size of the total moment ... 0.66 μB/f.u.
Uncorrected energy ... -7.037 eV per atom
V ... 266.7 Å³ per cell
Energy of formation ... -0.043 eV per atom

Cell lengths 9.0692, 9.0692, 3.7436 Å; angles 90.00, 90.00, 120.00 degrees
Each line ends with the local moment (μB).
Fractional coordinates of all 9 atoms:
Y 0.0000 0.2404 0.5000  0.01
Y 0.3751 0.3751 0.0000  0.04
Y 0.6667 0.3333 0.5000  0.04
Os 0.0000 0.0000 0.0000  0.17
Y 0.0000 0.6249 0.0000  0.04
Y 0.2404 0.0000 0.5000  0.01
Y 0.6249 0.0000 0.0000  0.03
Y 0.3333 0.6667 0.5000  0.04
Y 0.7596 0.7596 0.5000  0.01

No. 2
Density functional theory data (PBE) for a geometry-optimized YZnFeAs structure.

Output
Size of the total moment ... 2.00 μB/f.u.
Uncorrected energy ... -5.339 eV per atom
E above lowest polymorph ... 0.00 eV per formula unit
V ... 71.1 Å³ per cell

Cell lengths 4.6505, 4.6505, 4.6505 Å; angles 60.00, 60.00, 60.00 degrees
Fractional coordinates of all 4 atoms:
Fe 0.7500 0.7500 0.7500
As 0.0000 0.0000 0.0000
Y 0.2500 0.2500 0.2500
Zn 0.5000 0.5000 0.5000

No. 3
Density functional theory data (PBE) for a geometry-optimized TcHgBi2 structure.

Output
Size of the total moment ... 2.18 μB/f.u.
Uncorrected energy ... -3.886 eV per atom
V ... 94.2 Å³ per cell

Cell lengths 5.1065, 5.1065, 5.1065 Å; angles 60.00, 60.00, 60.00 degrees
Each line ends with the local moment (μB).
Fractional coordinates of all 4 atoms:
Bi 0.2500 0.2500 0.2500  -0.02
Bi 0.0000 0.0000 0.0000  -0.04
Tc 0.7500 0.7500 0.7500  1.96
Hg 0.5000 0.5000 0.5000  0.01

No. 4
Density functional theory data (PBE) for a geometry-optimized Gd2ErIn structure.

Output
Size of the total moment ... 0.17 μB/f.u.
Uncorrected energy ... -4.423 eV per atom
V ... 114.1 Å³ per cell

Cell lengths 4.8426, 4.8426, 4.8671 Å; angles 90.00, 90.00, 90.00 degrees
Each line ends with the local moment (μB).
Fractional coordinates of all 4 atoms:
In 0.5000 0.5000 0.0000  0.00
Gd 0.0000 0.5000 0.5000  0.05
Gd 0.5000 0.0000 0.5000  0.03
Er 0.0000 0.0000 0.0000  0.06

No. 5
Density functional theory data (PBE) for a geometry-optimized TmAl2C2 structure.

Output
Size of the total moment ... 0.01 μB/f.u.
Uncorrected energy ... -6.395 eV per atom
V ... 62.6 Å³ per cell

Cell lengths 3.4620, 3.4620, 6.0287 Å; angles 90.00, 90.00, 120.00 degrees
Fractional coordinates of all 5 atoms:
Al 0.3333 0.6667 0.3601
Tm 0.0000 0.0000 0.0000
C 0.3333 0.6667 0.7165
C 0.6667 0.3333 0.2835
Al 0.6667 0.3333 0.6399

No. 6
Density functional theory data (PBE) for a geometry-optimized Y4ZnPC2 structure.

Output
Size of the total moment ... 0.22 μB/f.u.
Uncorrected energy ... -6.868 eV per atom
V ... 164.8 Å³ per cell

Cell lengths 3.7238, 3.7238, 13.7243 Å; angles 90.00, 90.00, 120.00 degrees
Fractional coordinates of all 8 atoms:
Y 0.0000 0.0000 0.3303
Y 0.3333 0.6667 0.8663
Y 0.3333 0.6667 0.1337
C 0.6667 0.3333 0.2447
P 0.0000 0.0000 0.0000
C 0.6667 0.3333 0.7553
Zn 0.3333 0.6667 0.5000
Y 0.0000 0.0000 0.6697

No. 7
Density functional theory data (PBE) for a geometry-optimized KNbFeTe3 structure.

Output
Size of the total moment ... 2.00 μB/f.u.
Uncorrected energy ... -5.331 eV per atom
V ... 334.2 Å³ per cell

Cell lengths 9.2904, 3.7642, 10.4370 Å; angles 90.00, 113.71, 90.00 degrees
Each line ends with the local moment (μB).
Fractional coordinates of all 12 atoms:
K 0.5003 0.7500 0.7186  0.00
Fe 0.9805 0.7500 0.4019  2.37
Fe 0.0195 0.2500 0.5981  2.37
K 0.4997 0.2500 0.2814  0.00
Te 0.1973 0.2500 0.4556  0.00
Nb 0.9696 0.2500 0.1881  -0.33
Te 0.1639 0.7500 0.1171  0.00
Te 0.2610 0.2500 0.8400  -0.01
Te 0.8027 0.7500 0.5444  0.00
Te 0.7390 0.7500 0.1600  -0.01
Te 0.8361 0.2500 0.8829  0.00
Nb 0.0304 0.7500 0.8119  -0.33

No. 8
Density functional theory data (PBE) for a geometry-optimized SmHoTa structure.

Output
Size of the total moment ... 1.46 μB/f.u.
Uncorrected energy ... -5.760 eV per atom
E above lowest polymorph ... 0.00 eV per formula unit
V ... 89.6 Å³ per cell
Energy of formation ... 1.287 eV per atom

Cell lengths 5.0235, 5.0235, 5.0235 Å; angles 60.00, 60.00, 60.00 degrees
Fractional coordinates of all 3 atoms:
Ho 0.0000 0.0000 0.0000
Sm 0.7500 0.7500 0.7500
Ta 0.2500 0.2500 0.2500

No. 9
Density functional theory data (PBE) for a geometry-optimized LiBeCo2Si2Ir2 structure.

Output
Size of the total moment ... 0.01 μB/f.u.
Uncorrected energy ... -6.681 eV per atom
V ... 88.8 Å³ per cell

Cell lengths 3.9703, 3.9703, 5.6304 Å; angles 90.00, 90.00, 90.00 degrees
Fractional coordinates of all 8 atoms:
Si 0.0000 0.0000 0.5000
Si 0.5000 0.5000 0.0000
Ir 0.0000 0.5000 0.2414
Co 0.0000 0.5000 0.7548
Ir 0.5000 0.0000 0.7586
Li 0.5000 0.5000 0.5000
Co 0.5000 0.0000 0.2452
Be 0.0000 0.0000 0.0000

No. 10
Density functional theory data (PBE) for a geometry-optimized Tb3ZrTe2C2 structure.

Output
Size of the total moment ... 0.01 μB/f.u.
Uncorrected energy ... -6.737 eV per atom
V ... 170.9 Å³ per cell

Cell lengths 3.7520, 3.7520, 14.0169 Å; angles 90.00, 90.00, 120.00 degrees
Fractional coordinates of all 8 atoms:
Zr 0.3333 0.6667 0.0912
C 0.0000 0.0000 0.4969
Tb 0.6667 0.3333 0.9113
Te 0.6667 0.3333 0.2369
Tb 0.6667 0.3333 0.5937
C 0.0000 0.0000 0.0126
Te 0.3333 0.6667 0.7539
Tb 0.3333 0.6667 0.4035

Among the records above, which one has the highest uncorrected energy? TcHgBi2

V of number 1 (Y8Os)? 266.7 Å³ per cell